Density functional theory data (PBE) for crystalline Na5Ti12O24 at its relaxed geometry.

Results
final energy = -8.11 eV per atom
energy relative to the elements, uncorrected = -2.73 eV per atom

a = 5.469 Å, b = 8.962 Å, c = 9.528 Å
α = 90.00°, β = 90.25°, γ = 90.00°
Space group Pm (No. 6)
Symmetry-distinct sites (fractional):
Na  0.000  0.000  0.000 (multiplicity 1)
Na  0.017  0.333  0.035 (multiplicity 2)
Na  0.456  0.000  0.535 (multiplicity 1)
Na  0.514  0.500  0.552 (multiplicity 1)
Ti  0.480  0.500  0.197 (multiplicity 1)
Ti  0.481  0.167  0.193 (multiplicity 2)
Ti  0.488  0.000  0.898 (multiplicity 1)
Ti  0.492  0.330  0.903 (multiplicity 2)
Ti  0.980  0.000  0.400 (multiplicity 1)
Ti  0.982  0.327  0.404 (multiplicity 2)
Ti  0.986  0.175  0.688 (multiplicity 2)
Ti  0.989  0.500  0.695 (multiplicity 1)
O  0.135  0.500  0.502 (multiplicity 1)
O  0.162  0.172  0.504 (multiplicity 2)
O  0.204  0.334  0.769 (multiplicity 2)
O  0.218  0.000  0.764 (multiplicity 1)
O  0.250  0.334  0.261 (multiplicity 2)
O  0.267  0.000  0.272 (multiplicity 1)
O  0.310  0.165  0.004 (multiplicity 2)
O  0.313  0.500  0.002 (multiplicity 1)
O  0.646  0.333  0.094 (multiplicity 2)
O  0.648  0.000  0.097 (multiplicity 1)
O  0.710  0.500  0.830 (multiplicity 1)
O  0.726  0.165  0.840 (multiplicity 2)
O  0.751  0.500  0.333 (multiplicity 1)
O  0.761  0.166  0.331 (multiplicity 2)
O  0.804  0.328  0.593 (multiplicity 2)
O  0.831  0.000  0.596 (multiplicity 1)



Density functional theory data (PBE) for crystalline Na6Ti2O7 at its relaxed geometry.

Results
final energy = -6.11 eV per atom
energy above the most stable polymorph in this dataset = 0.013 eV per atom
energy relative to the elements, uncorrected = -2.22 eV per atom

a = 8.376 Å, b = 8.676 Å, c = 12.275 Å
α = 90.00°, β = 104.81°, γ = 90.00°
Space group C2/c (No. 15)
Symmetry-distinct sites (fractional):
Na  0.000  0.000  0.000 (multiplicity 4)
Na  0.000  0.059  0.250 (multiplicity 4)
Na  0.094  0.353  0.588 (multiplicity 8)
Na  0.242  0.278  0.130 (multiplicity 8)
Ti  0.152  0.419  0.361 (multiplicity 8)
O  0.000  0.465  0.750 (multiplicity 4)
O  0.053  0.245  0.396 (multiplicity 8)
O  0.161  0.120  0.684 (multiplicity 8)
O  0.203  0.448  0.980 (multiplicity 8)



Density functional theory data (PBE) for crystalline NaTi3O9 at its relaxed geometry.

Results
final energy = -7.38 eV per atom
energy relative to the elements, uncorrected = -2.03 eV per atom

a = 16.396 Å, b = 3.753 Å, c = 13.341 Å
α = 90.00°, β = 126.79°, γ = 90.00°
Space group C2/m (No. 12)
Symmetry-distinct sites (fractional):
Na  0.113  0.000  0.296 (multiplicity 4)
Ti  0.047  0.500  0.639 (multiplicity 4)
Ti  0.152  0.500  0.920 (multiplicity 4)
Ti  0.240  0.000  0.793 (multiplicity 4)
O  0.017  0.000  0.055 (multiplicity 4)
O  0.024  0.500  0.764 (multiplicity 4)
O  0.082  0.000  0.658 (multiplicity 4)
O  0.085  0.500  0.511 (multiplicity 4)
O  0.139  0.500  0.045 (multiplicity 4)
O  0.171  0.000  0.519 (multiplicity 4)
O  0.188  0.000  0.927 (multiplicity 4)
O  0.205  0.500  0.794 (multiplicity 4)
O  0.208  0.500  0.294 (multiplicity 4)



Density functional theory data (PBE) for crystalline Na2TiO3 at its relaxed geometry.

Results
final energy = -6.64 eV per atom
energy relative to the elements, uncorrected = -2.41 eV per atom

a = 9.458 Å, b = 6.155 Å, c = 5.385 Å
α = 90.00°, β = 90.00°, γ = 90.00°
Space group Cmc2_1 (No. 36)
Symmetry-distinct sites (fractional):
Na  0.165  0.131  0.000 (multiplicity 8)
Ti  0.000  0.405  0.461 (multiplicity 4)
O  0.000  0.130  0.366 (multiplicity 4)
O  0.136  0.457  0.736 (multiplicity 8)



Density functional theory data (PBE) for crystalline NaTi5O10 at its relaxed geometry.

Results
final energy = -8.57 eV per atom
energy relative to the elements, uncorrected = -2.92 eV per atom

a = 8.453 Å, b = 9.513 Å, c = 10.114 Å
α = 82.03°, β = 67.70°, γ = 84.85°
Space group P-1 (No. 2)
Symmetry-distinct sites (fractional):
Na  0.101  0.100  0.099 (multiplicity 2)
Na  0.301  0.300  0.301 (multiplicity 2)
Ti  0.037  0.437  0.146 (multiplicity 2)
Ti  0.063  0.858  0.558 (multiplicity 2)
Ti  0.139  0.342  0.641 (multiplicity 2)
Ti  0.166  0.762  0.053 (multiplicity 2)
Ti  0.236  0.635  0.349 (multiplicity 2)
Ti  0.263  0.057  0.758 (multiplicity 2)
Ti  0.339  0.541  0.836 (multiplicity 2)
Ti  0.367  0.963  0.253 (multiplicity 2)
Ti  0.436  0.833  0.546 (multiplicity 2)
Ti  0.465  0.259  0.959 (multiplicity 2)
O  0.008  0.739  0.440 (multiplicity 2)
O  0.023  0.280  0.275 (multiplicity 2)
O  0.065  0.180  0.817 (multiplicity 2)
O  0.091  0.622  0.964 (multiplicity 2)
O  0.110  0.580  0.233 (multiplicity 2)
O  0.137  0.021  0.383 (multiplicity 2)
O  0.178  0.920  0.925 (multiplicity 2)
O  0.191  0.463  0.759 (multiplicity 2)
O  0.205  0.935  0.643 (multiplicity 2)
O  0.211  0.478  0.474 (multiplicity 2)
O  0.265  0.380  0.016 (multiplicity 2)
O  0.292  0.824  0.164 (multiplicity 2)
O  0.309  0.779  0.434 (multiplicity 2)
O  0.332  0.216  0.581 (multiplicity 2)
O  0.380  0.121  0.126 (multiplicity 2)
O  0.393  0.662  0.958 (multiplicity 2)
O  0.406  0.137  0.843 (multiplicity 2)
O  0.420  0.684  0.679 (multiplicity 2)
O  0.461  0.579  0.214 (multiplicity 2)
O  0.492  0.022  0.365 (multiplicity 2)



Density functional theory data (PBE) for crystalline NaTi3O at its relaxed geometry.

Results
final energy = -6.56 eV per atom
energy above the most stable polymorph in this dataset = 0.000 eV per atom
energy relative to the elements, uncorrected = -0.56 eV per atom

a = 4.242 Å, b = 4.242 Å, c = 4.242 Å
α = 90.00°, β = 90.00°, γ = 90.00°
Space group Pm-3m (No. 221)
Symmetry-distinct sites (fractional):
Na  0.000  0.000  0.000 (multiplicity 1)
Ti  0.000  0.500  0.500 (multiplicity 3)
O  0.500  0.500  0.500 (multiplicity 1)